BeTcAs2Br after structural relaxation, computed with GGA-PBEsol.

POSCAR file:
```
BeTcAs2Br
1.0
4.3568 0.0000 0.0000
0.0000 4.3568 0.0000
0.0000 0.0000 4.7104
Tc Be Br As
1 1 1 2
direct
0.5000 0.5000 0.5000
0.0000 0.0000 0.0000
0.0000 0.0000 0.5000
0.0000 0.5000 0.0000
0.5000 0.0000 0.0000
```

- formation energy (no corrections) (eV/f.u.) = 4.9